## TbCe3Tl3 (PBE-GGA)

Data for crystalline TbCe3Tl3 at its relaxed geometry.

```
TbCe3Tl3
1.0
9.544 0.000 0.000
-4.772 8.265 0.000
0.000 0.000 5.091
Tb Ce Tl
2 6 6
direct
0.333 0.667 0.250
0.667 0.333 0.750
0.004 0.779 0.250
0.221 0.225 0.250
0.225 0.004 0.750
0.775 0.996 0.250
0.779 0.775 0.750
0.996 0.221 0.750
0.075 0.615 0.750
0.385 0.460 0.750
0.460 0.075 0.250
0.540 0.925 0.750
0.615 0.540 0.250
0.925 0.385 0.250
```

Output
SG ... P6_3/m (176)
Energy relative to the elements ... -0.10 eV per atom